# 1
A relaxed structure of CrFeIrRh. Source: Alexandria, functional PBE-GGA.

Unit cell a=6.0463 b=6.0463 c=6.0463 alpha=90.00 beta=90.00 gamma=90.00
Fractional positions:
Cr (0.0000, 0.0000, 0.0000)
Cr (0.0000, 0.5000, 0.5000)
Cr (0.5000, 0.0000, 0.5000)
Cr (0.5000, 0.5000, 0.0000)
Fe (0.0000, 0.0000, 0.5000)
Fe (0.0000, 0.5000, 0.0000)
Fe (0.5000, 0.0000, 0.0000)
Fe (0.5000, 0.5000, 0.5000)
Ir (0.2500, 0.2500, 0.7500)
Ir (0.2500, 0.7500, 0.2500)
Ir (0.7500, 0.2500, 0.2500)
Ir (0.7500, 0.7500, 0.7500)
Rh (0.2500, 0.2500, 0.2500)
Rh (0.2500, 0.7500, 0.7500)
Rh (0.7500, 0.2500, 0.7500)
Rh (0.7500, 0.7500, 0.2500)

Magnetic moment   7.047 μB per formula unit
Uncorrected energy   -0.313 hartree per atom
Density of states at the Fermi level   17.699 states/eV per cell
E above lowest polymorph   39 meV per atom
Theoretical density   12.109 Mg/m³

# 2
A relaxed structure of YHo4Er6. Source: Alexandria, functional PBE-GGA.

Unit cell a=5.5627 b=5.5627 c=25.4633 alpha=90.00 beta=90.00 gamma=119.64
Fractional positions:
Y (0.1726, 0.8274, 0.7500)
Y (0.8274, 0.1726, 0.2500)
Ho (0.1645, 0.8355, 0.0420)
Ho (0.1645, 0.8355, 0.4580)
Ho (0.4927, 0.5073, 0.1215)
Ho (0.4927, 0.5073, 0.3785)
Ho (0.5073, 0.4927, 0.6215)
Ho (0.5073, 0.4927, 0.8785)
Ho (0.8355, 0.1645, 0.5420)
Ho (0.8355, 0.1645, 0.9580)
Er (0.1603, 0.8397, 0.1814)
Er (0.1603, 0.8397, 0.3186)
Er (0.1726, 0.8274, 0.6037)
Er (0.1726, 0.8274, 0.8963)
Er (0.4937, 0.5063, 0.2500)
Er (0.5000, 0.5000, 0.0000)
Er (0.5000, 0.5000, 0.5000)
Er (0.5063, 0.4937, 0.7500)
Er (0.8274, 0.1726, 0.1037)
Er (0.8274, 0.1726, 0.3963)
Er (0.8397, 0.1603, 0.6814)
Er (0.8397, 0.1603, 0.8186)

Magnetic moment   0.000 μB per formula unit
Uncorrected energy   -0.170 hartree per atom
Density of states at the Fermi level   38.211 states/eV per cell
E above lowest polymorph   0 meV per atom
Theoretical density   8.497 Mg/m³

# 3
A relaxed structure of BaCuAs2P. Source: Alexandria, functional PBE-GGA.

Unit cell a=5.7998 b=5.7998 c=5.3084 alpha=90.00 beta=90.00 gamma=90.00
Fractional positions:
Ba (0.0000, 0.0000, 0.0000)
Cu (0.0000, 0.0000, 0.5000)
As (0.0000, 0.5000, 0.0000)
As (0.5000, 0.0000, 0.0000)
P (0.5000, 0.5000, 0.5000)

Magnetic moment   0.000 μB per formula unit
Uncorrected energy   -0.090 hartree per atom
Density of states at the Fermi level   7.433 states/eV per cell
Theoretical density   3.549 Mg/m³

# 4
A relaxed structure of K4Ac3AlS8. Source: Alexandria, functional PBE-GGA.

Unit cell a=8.5835 b=8.5835 c=8.9504 alpha=118.71 beta=118.71 gamma=59.05
Fractional positions:
K (0.0000, 0.0000, 0.0000)
K (0.0000, 0.5000, 0.0000)
K (0.5000, 0.0000, 0.0000)
K (0.5000, 0.5000, 0.0000)
Ac (0.0000, 0.0000, 0.5000)
Ac (0.0000, 0.5000, 0.5000)
Ac (0.5000, 0.0000, 0.5000)
Al (0.5000, 0.5000, 0.5000)
S (0.2371, 0.2371, 0.7195)
S (0.2512, 0.2512, 0.2714)
S (0.2834, 0.6993, 0.6867)
S (0.3007, 0.7166, 0.3133)
S (0.6993, 0.2834, 0.6867)
S (0.7166, 0.3007, 0.3133)
S (0.7488, 0.7488, 0.7286)
S (0.7629, 0.7629, 0.2805)

Magnetic moment   0.000 μB per formula unit
Uncorrected energy   -0.182 hartree per atom
Raw formation energy   -1609 meV per atom
Theoretical density   3.947 Mg/m³